(1)
A plane-wave DFT calculation with GGA-PBE was carried out for crystalline Dy2In2Ni15 at its relaxed geometry.

```
Dy2In2Ni15
1.0
-3.069 2.533 5.023
-5.434 1.518 -3.040
-3.341 -5.218 1.637
Dy In Ni
2 2 15
direct
0.355 0.355 0.355
0.645 0.645 0.645
0.108 0.108 0.108
0.892 0.892 0.892
0.500 0.000 0.000
0.000 0.000 0.500
0.000 0.500 0.000
0.000 0.695 0.305
0.695 0.305 0.000
0.305 0.000 0.695
0.305 0.695 0.000
0.695 0.000 0.305
0.000 0.305 0.695
0.161 0.651 0.651
0.651 0.651 0.161
0.651 0.161 0.651
0.839 0.349 0.349
0.349 0.349 0.839
0.349 0.839 0.349
```

Values from the calculation:
- N(E_F): 25.2 states/eV per cell
- Symmetry: No. 166
- Final energy: -104.805 eV for the cell shown
- ΔE_f: -328 kJ/mol of formula units

(2)
A plane-wave DFT calculation with GGA-PBE was carried out for crystalline Dy3InNi at its relaxed geometry.

```
Dy3InNi
1.0
-3.554 -0.587 3.712
2.373 0.229 5.912
-1.821 8.384 3.186
Dy In Ni
6 2 2
direct
0.874 0.987 0.265
0.126 0.013 0.735
0.626 0.680 0.069
0.374 0.320 0.931
0.860 0.611 0.669
0.140 0.389 0.331
0.408 0.751 0.433
0.592 0.249 0.567
0.109 0.751 0.031
0.891 0.249 0.969
```

Values from the calculation:
- N(E_F): 10.0 states/eV per cell
- Symmetry: No. 12
- Final energy: -47.807 eV for the cell shown
- ΔE_f: -152 kJ/mol of formula units

(3)
A plane-wave DFT calculation with GGA-PBE was carried out for crystalline DyIn2Ni9 at its relaxed geometry.

```
DyIn2Ni9
1.0
4.913 0.000 0.000
2.456 4.255 0.000
2.456 1.418 7.897
Dy In Ni
1 2 9
direct
0.000 0.000 0.000
0.860 0.860 0.421
0.140 0.140 0.579
0.666 0.666 0.001
0.334 0.334 0.999
0.500 0.500 0.500
0.415 0.415 0.251
0.919 0.415 0.251
0.415 0.919 0.251
0.585 0.585 0.749
0.585 0.081 0.749
0.081 0.585 0.749
```

Values from the calculation:
- N(E_F): 15.5 states/eV per cell
- Symmetry: No. 166
- Final energy: -64.641 eV for the cell shown
- ΔE_f: -244 kJ/mol of formula units

(4)
A plane-wave DFT calculation with GGA-PBE was carried out for crystalline Dy8InNi2 at its relaxed geometry.

```
Dy8InNi2
1.0
-0.336 -3.966 -3.509
-0.195 -4.415 6.602
-6.881 3.555 -1.769
Dy In Ni
8 1 2
direct
0.927 0.925 0.669
0.927 0.669 0.925
0.304 0.608 0.608
0.500 0.751 0.249
0.500 0.249 0.751
0.696 0.392 0.392
0.073 0.331 0.075
0.073 0.075 0.331
0.500 0.000 0.000
0.000 0.305 0.695
0.000 0.695 0.305
```

Values from the calculation:
- N(E_F): 13.0 states/eV per cell
- Symmetry: No. 12
- Final energy: -53.042 eV for the cell shown
- ΔE_f: -186 kJ/mol of formula units

(5)
A plane-wave DFT calculation with GGA-PBE was carried out for crystalline Dy6InNi2 at its relaxed geometry.

```
Dy6InNi2
1.0
8.423 -0.045 -0.029
-3.233 7.778 0.029
-2.809 -3.723 7.015
Dy In Ni
12 2 4
direct
0.525 0.708 0.817
0.475 0.292 0.183
0.108 0.292 0.817
0.892 0.708 0.183
0.796 0.767 0.563
0.204 0.233 0.437
0.204 0.767 0.970
0.796 0.233 0.030
0.692 0.368 0.676
0.308 0.632 0.324
0.308 0.984 0.676
0.692 0.016 0.324
0.000 0.500 0.500
0.000 0.000 0.000
0.500 0.378 0.878
0.500 0.622 0.122
0.647 0.000 0.647
0.353 0.000 0.353
```

Values from the calculation:
- N(E_F): 18.1 states/eV per cell
- Symmetry: No. 71
- Final energy: -90.027 eV for the cell shown
- ΔE_f: -299 kJ/mol of formula units

(6)
A plane-wave DFT calculation with GGA-PBE was carried out for crystalline Dy2In9Ni3 at its relaxed geometry.

```
Dy2In9Ni3
1.0
0.408 6.598 4.776
-6.306 -0.998 -5.074
-3.279 -9.057 5.862
Dy In Ni
4 18 6
direct
0.333 0.248 0.748
0.667 0.752 0.252
0.000 0.585 0.752
0.000 0.415 0.248
0.440 0.918 0.749
0.560 0.082 0.251
0.669 0.691 0.751
0.331 0.309 0.249
0.439 0.631 0.927
0.561 0.369 0.073
0.204 0.513 0.573
0.796 0.487 0.427
0.893 0.143 0.750
0.107 0.857 0.250
0.137 0.981 0.940
0.863 0.019 0.060
0.541 0.197 0.560
0.459 0.803 0.440
0.894 0.858 0.575
0.106 0.142 0.425
0.784 0.320 0.925
0.216 0.680 0.075
0.500 0.000 0.000
0.500 0.500 0.500
0.832 0.167 0.500
0.168 0.833 0.500
0.166 0.332 0.000
0.834 0.668 0.000
```

Values from the calculation:
- N(E_F): 12.5 states/eV per cell
- Symmetry: No. 15
- Final energy: -108.867 eV for the cell shown
- ΔE_f: -313 kJ/mol of formula units

(7)
A plane-wave DFT calculation with GGA-PBE was carried out for crystalline Dy4InNi at its relaxed geometry.

```
Dy4InNi
1.0
6.796 0.000 -0.250
0.000 7.227 0.000
-0.343 0.000 7.166
Dy In Ni
8 2 2
direct
0.903 0.641 0.183
0.597 0.141 0.817
0.313 0.327 0.358
0.187 0.827 0.642
0.097 0.359 0.817
0.403 0.859 0.183
0.687 0.673 0.642
0.813 0.173 0.358
0.000 0.000 0.000
0.500 0.500 0.000
0.500 0.000 0.500
0.000 0.500 0.500
```

Values from the calculation:
- N(E_F): 15.1 states/eV per cell
- Symmetry: No. 14
- Final energy: -55.542 eV for the cell shown
- ΔE_f: -81 kJ/mol of formula units

(8)
A plane-wave DFT calculation with GGA-PBE was carried out for crystalline DyIn6Ni6 at its relaxed geometry.

```
DyIn6Ni6
1.0
-4.261 -2.832 1.410
-1.133 -5.387 -4.259
1.599 -5.241 4.293
Dy In Ni
1 6 6
direct
0.000 0.000 0.000
0.341 0.659 0.659
0.659 0.341 0.341
0.000 0.331 0.669
0.000 0.669 0.331
0.322 0.178 0.178
0.678 0.822 0.822
0.000 0.500 0.000
0.500 0.500 0.000
0.000 0.000 0.500
0.500 0.000 0.500
0.500 0.763 0.237
0.500 0.237 0.763
```

Values from the calculation:
- N(E_F): 9.0 states/eV per cell
- Symmetry: No. 71
- Final energy: -58.573 eV for the cell shown
- ΔE_f: -275 kJ/mol of formula units

(9)
A plane-wave DFT calculation with GGA-PBE was carried out for crystalline DyIn4Ni2 at its relaxed geometry.

```
DyIn4Ni2
1.0
4.415 0.000 0.000
0.000 7.040 0.000
0.000 0.000 18.110
Dy In Ni
4 16 8
direct
0.750 0.970 0.641
0.250 0.030 0.359
0.250 0.470 0.859
0.750 0.530 0.141
0.250 0.260 0.695
0.750 0.740 0.305
0.750 0.760 0.805
0.250 0.240 0.195
0.250 0.674 0.685
0.750 0.326 0.315
0.750 0.174 0.815
0.250 0.826 0.185
0.250 0.147 0.532
0.750 0.853 0.468
0.750 0.647 0.968
0.250 0.353 0.032
0.250 0.506 0.429
0.750 0.494 0.571
0.750 0.006 0.071
0.250 0.994 0.929
0.250 0.758 0.542
0.750 0.242 0.458
0.750 0.258 0.958
0.250 0.742 0.042
0.250 0.963 0.782
0.750 0.037 0.218
0.750 0.463 0.718
0.250 0.537 0.282
```

Values from the calculation:
- N(E_F): 14.0 states/eV per cell
- Symmetry: No. 62
- Final energy: -116.763 eV for the cell shown
- ΔE_f: -200 kJ/mol of formula units

(10)
A plane-wave DFT calculation with GGA-PBE was carried out for crystalline DyInNiPd at its relaxed geometry.

```
DyInNiPd
1.0
4.717 0.000 0.000
2.359 4.085 0.000
2.359 1.362 3.852
Ni In Pd Dy
1 1 1 1
direct
0.750 0.750 0.750
0.000 0.000 0.000
0.250 0.250 0.250
0.500 0.500 0.500
```

Values from the calculation:
- N(E_F): 3.5 states/eV per cell
- Symmetry: No. 216
- Final energy: -20.598 eV for the cell shown
- ΔE_f: -220 kJ/mol of formula units

(11)
A plane-wave DFT calculation with GGA-PBE was carried out for crystalline PmDyInNi at its relaxed geometry.

```
PmDyInNi
1.0
5.163 0.000 0.000
2.582 4.471 0.000
2.582 1.490 4.216
Ni Pm In Dy
1 1 1 1
direct
0.250 0.250 0.250
0.000 0.000 0.000
0.750 0.750 0.750
0.500 0.500 0.500
```

Values from the calculation:
- N(E_F): 4.1 states/eV per cell
- Symmetry: No. 216
- Final energy: -18.981 eV for the cell shown
- ΔE_f: -107 kJ/mol of formula units

(12)
A plane-wave DFT calculation with GGA-PBE was carried out for crystalline PrDyInNi at its relaxed geometry.

```
PrDyInNi
1.0
5.203 0.000 0.000
2.602 4.506 0.000
2.602 1.502 4.249
Pr Ni In Dy
1 1 1 1
direct
0.000 0.000 0.000
0.750 0.750 0.750
0.250 0.250 0.250
0.500 0.500 0.500
```

Values from the calculation:
- N(E_F): 4.2 states/eV per cell
- Symmetry: No. 216
- Final energy: -18.906 eV for the cell shown
- ΔE_f: -97 kJ/mol of formula units